12
Lattice="-1.852 4.832 -1.643 -3.302 -2.467 -3.534 -1.290 -1.387 6.345" Properties=species:S:1:pos:R:3 comment="YPa2CdO8 (PBE-GGA, relaxed)" raw_formation_energy_ev_per_fu=-35.95 sg="I-4m2 (119)" pbc="T T T"
Cd -2.859 2.313 1.057
O -3.319 -1.918 2.319
O -4.776 1.780 -2.912
O -2.282 0.483 -0.415
O -3.837 -0.675 -2.075
O -4.186 0.356 1.546
O -3.225 2.938 -1.247
O -1.639 -0.664 4.113
O -2.511 1.609 3.344
Y 0.000 0.000 0.000
Pa -2.577 1.182 -2.588
Pa -3.584 -1.336 0.111



9
Lattice="4.843 0.000 0.000 0.000 5.691 0.000 0.000 -2.846 4.929" Properties=species:S:1:pos:R:3 comment="YPaCdO6 (PBE-GGA, relaxed)" raw_formation_energy_ev_per_fu=-21.15 sg="P312 (149)" pbc="T T T"
Cd 2.421 2.846 1.643
O 1.220 0.889 1.726
O 3.622 -0.889 1.726
O 1.220 0.907 4.836
O 1.220 -1.796 3.296
O 3.622 1.796 3.296
O 3.622 -0.907 4.836
Pa 0.000 0.000 3.286
Y 2.421 0.000 0.000



10
Lattice="-1.804 -5.097 -2.097 3.568 -4.571 0.023 -1.128 -4.538 3.982" Properties=species:S:1:pos:R:3 comment="YPaCd2O6 (PBE-GGA, relaxed)" raw_formation_energy_ev_per_fu=-25.59 sg="R3 (146)" pbc="T T T"
O 0.846 -8.932 2.127
O 0.554 -5.955 2.858
O 2.671 -6.469 0.708
O 0.170 -8.751 -0.853
O -0.718 -5.193 -0.177
O -1.801 -7.462 1.569
Pa 0.824 -10.389 0.486
Cd 0.480 -6.979 0.513
Cd -0.950 -4.402 3.498
Y 0.490 -3.298 -0.424



9
Lattice="-3.174 -0.693 -3.404 -2.547 -3.694 3.127 -1.439 5.269 0.270" Properties=species:S:1:pos:R:3 comment="PaZnCdO6 (PBE-GGA, relaxed)" raw_formation_energy_ev_per_fu=-14.16 sg="P312 (149)" pbc="T T T"
O -5.061 0.641 -0.243
O -2.878 1.148 -2.382
O -1.856 3.389 -0.631
O -3.939 2.513 1.489
O -2.078 0.408 0.183
O -4.560 3.512 -1.295
Cd -3.765 -1.052 0.472
Zn -1.587 -0.346 -1.702
Pa -1.808 2.281 1.222



12
Lattice="-3.858 1.479 3.581 2.378 -3.085 3.837 3.718 4.956 -2.215" Properties=species:S:1:pos:R:3 comment="Pa2ZnCdO8 (PBE-GGA, relaxed)" raw_formation_energy_ev_per_fu=-27.94 sg="I-4 (82)" pbc="T T T"
O -1.863 0.997 4.344
O 2.454 4.079 -0.657
O 0.673 3.685 1.120
O 0.404 1.007 2.666
O 1.451 -1.115 3.609
O 0.085 0.131 5.739
O 2.435 2.738 3.109
O 3.315 1.876 0.879
Zn -0.440 2.816 2.537
Cd 0.000 0.000 0.000
Pa 2.678 0.534 2.665
Pa -0.740 -0.803 3.709



12
Lattice="-1.200 5.938 0.610 -3.075 -2.461 4.643 5.956 -1.253 0.160" Properties=species:S:1:pos:R:3 comment="ZrPaCd2O8 (PBE-GGA, relaxed)" raw_formation_energy_ev_per_fu=-22.36 sg="I-4m2 (119)" pbc="T T T"
Cd 1.310 3.212 1.698
Cd -2.137 1.739 2.627
O -0.637 0.264 2.327
O 3.170 3.253 0.614
O 0.838 3.346 3.795
O -2.224 3.392 3.957
O 1.971 0.405 3.832
O -0.210 4.697 2.049
O 1.441 1.550 0.335
O 4.252 0.386 0.709
Zr 0.372 -0.988 3.715
Pa 0.000 0.000 0.000



18
Lattice="-0.073 2.494 -4.459 1.459 -4.263 -2.409 -9.790 -2.615 -1.301" Properties=species:S:1:pos:R:3 comment="ZrPaCdO6 (PBE-GGA, relaxed)" raw_formation_energy_ev_per_fu=-23.45 sg="P4_2nm (102)" pbc="T T T"
Cd -0.941 -1.321 -3.651
Cd -6.529 -1.744 -0.868
O -7.120 -5.078 -3.929
O -4.540 -0.122 -4.686
O -2.961 -1.420 -2.466
O -6.112 -2.313 -3.055
O -0.477 -3.476 -3.002
O -5.607 -2.957 -5.555
O -8.698 -3.818 -6.082
O -2.390 -2.149 -5.296
O -3.616 -4.196 -3.450
O -9.248 -3.115 -3.355
O -8.021 -1.105 -5.135
O -1.452 0.821 -4.306
Zr -7.457 -3.061 -4.517
Zr -3.255 -0.869 -0.433
Pa -9.783 -2.613 -1.300
Pa -4.196 -2.190 -4.084



10
Lattice="-6.463 2.598 0.352 -3.499 -0.223 4.957 -1.071 5.789 2.520" Properties=species:S:1:pos:R:3 comment="Cd2PbO2 (PBE-GGA, relaxed)" raw_formation_energy_ev_per_fu=-3.03 sg="P-1 (2)" pbc="T T T"
O -4.437 3.535 4.903
O -6.597 4.629 2.925
O -3.699 1.477 1.819
O -7.335 6.688 6.010
Cd -5.804 5.277 5.127
Cd -9.343 6.438 7.164
Cd -5.230 2.887 2.702
Cd -1.691 1.727 0.664
Pb -8.621 3.806 4.145
Pb -2.412 4.358 3.683



5
Lattice="4.184 0.000 0.000 0.000 4.184 0.000 0.000 0.000 4.184" Properties=species:S:1:pos:R:3 comment="CdPbO3 (PBE-GGA, relaxed)" raw_formation_energy_ev_per_fu=-2.26 sg="Pm-3m (221)" pbc="T T T"
O 0.000 2.092 0.000
O 0.000 0.000 2.092
O 2.092 0.000 0.000
Pb 0.000 0.000 0.000
Cd 2.092 2.092 2.092



12
Lattice="5.941 0.154 0.000 1.820 5.669 0.000 0.910 2.834 5.169" Properties=species:S:1:pos:R:3 comment="Cd5PbO6 (PBE-GGA, relaxed)" raw_formation_energy_ev_per_fu=-11.95 sg="C2/m (12)" pbc="T T T"
Cd 3.881 2.911 3.432
Cd 4.791 5.746 1.737
Cd 0.910 2.834 1.726
Cd 1.820 5.669 3.443
Cd 3.881 2.911 0.000
O 2.047 1.512 0.000
O 5.714 4.311 0.000
O 4.919 1.596 1.808
O 2.842 4.227 1.808
O 5.829 4.430 3.361
O 3.752 7.061 3.361
Pb 0.000 0.000 0.000



8
Lattice="5.356 0.000 0.000 0.000 5.356 0.000 2.678 2.678 5.435" Properties=species:S:1:pos:R:3 comment="CdPbO2 (PBE-GGA, relaxed)" raw_formation_energy_ev_per_fu=-3.87 polymorph_energy_kj_per_mol_fu=2 sg="I-42d (122)" pbc="T T T"
Pb 0.000 0.000 0.000
Pb 5.356 2.678 2.717
Cd 2.678 2.678 0.000
Cd 2.678 5.356 2.717
O 4.017 4.166 4.076
O 3.868 1.339 1.359
O 6.695 6.546 4.076
O 1.488 4.017 1.359



10
Lattice="-1.477 0.172 -4.732 2.914 -3.708 -3.644 -4.402 -3.779 -1.363" Properties=species:S:1:pos:R:3 comment="Cd4PbO5 (PBE-GGA, relaxed)" raw_formation_energy_ev_per_fu=-9.84 polymorph_energy_kj_per_mol_fu=0 sg="I4 (79)" pbc="T T T"
Cd -0.035 -2.860 -5.296
Cd -1.477 -5.079 -7.526
Cd -2.932 -4.454 -4.449
Cd -1.491 -2.235 -2.219
O -3.581 -4.445 -6.844
O -0.664 -5.071 -5.178
O 0.615 -2.870 -2.897
O -0.748 0.087 -2.397
O -2.303 -2.243 -4.563
Pb -0.002 0.000 -0.005



Repeat the first record exactly.
12
Lattice="-1.852 4.832 -1.643 -3.302 -2.467 -3.534 -1.290 -1.387 6.345" Properties=species:S:1:pos:R:3 comment="YPa2CdO8 (PBE-GGA, relaxed)" raw_formation_energy_ev_per_fu=-35.95 sg="I-4m2 (119)" pbc="T T T"
Cd -2.859 2.313 1.057
O -3.319 -1.918 2.319
O -4.776 1.780 -2.912
O -2.282 0.483 -0.415
O -3.837 -0.675 -2.075
O -4.186 0.356 1.546
O -3.225 2.938 -1.247
O -1.639 -0.664 4.113
O -2.511 1.609 3.344
Y 0.000 0.000 0.000
Pa -2.577 1.182 -2.588
Pa -3.584 -1.336 0.111